No. 1
DFT (PBE) results for an optimized crystal structure of LuPt3.

The structure belongs to space group Pm-3m (No. 221); the cell edges are 4.076, 4.076 and 4.076 Å and the angles 90.00°, 90.00° and 90.00°. The distinct sites, in fractional coordinates, are Lu at (0.000, 0.000, 0.000) and Pt at (0.000, 0.500, 0.500).

Its total energy is -6.77 eV per atom. The value obtained for the density is 18.65 g/cm³. The spin magnetization comes out at 0.00 μB per formula unit.

---

No. 2
DFT (PBE) results for an optimized crystal structure of Lu3Pt.

The structure belongs to space group Pnma (No. 62); the cell edges are 6.918, 9.256 and 6.384 Å and the angles 90.00°, 90.00° and 90.00°. The distinct sites, in fractional coordinates, are Lu at (0.025, 0.250, 0.122), Lu at (0.183, 0.060, 0.683) and Pt at (0.106, 0.750, 0.459).

Its total energy is -5.66 eV per atom. The value obtained for the density is 11.70 g/cm³. The spin magnetization comes out at 0.00 μB per formula unit.

---

No. 3
DFT (PBE) results for an optimized crystal structure of LuPt.

The structure belongs to space group Fm-3m (No. 225); the cell edges are 5.645, 5.645 and 5.645 Å and the angles 90.00°, 90.00° and 90.00°. The distinct sites, in fractional coordinates, are Lu at (0.000, 0.000, 0.000) and Pt at (0.000, 0.000, 0.500).

Its total energy is -6.45 eV per atom. The value obtained for the density is 13.67 g/cm³. The spin magnetization comes out at 0.00 μB per formula unit.

---

No. 4
DFT (PBE) results for an optimized crystal structure of Lu3Pt.

The structure belongs to space group Immm (No. 71); the cell edges are 3.574, 5.135 and 10.819 Å and the angles 90.00°, 90.00° and 90.00°. The distinct sites, in fractional coordinates, are Lu at (0.000, 0.000, 0.000), Lu at (0.000, 0.500, 0.201) and Pt at (0.000, 0.000, 0.500).

Its total energy is -5.59 eV per atom. The value obtained for the density is 12.04 g/cm³. The spin magnetization comes out at 0.00 μB per formula unit.

---

No. 5
DFT (PBE) results for an optimized crystal structure of LuPt.

The structure belongs to space group Pnma (No. 62); the cell edges are 6.813, 4.478 and 5.492 Å and the angles 90.00°, 90.00° and 90.00°. The distinct sites, in fractional coordinates, are Lu at (0.182, 0.250, 0.142) and Pt at (0.043, 0.250, 0.658).

Its total energy is -6.63 eV per atom. The value obtained for the density is 14.67 g/cm³. The spin magnetization comes out at 0.00 μB per formula unit.

---

No. 6
DFT (PBE) results for an optimized crystal structure of LuPt6.

The structure belongs to space group Im-3m (No. 229); the cell edges are 7.001, 7.001 and 7.001 Å and the angles 90.00°, 90.00° and 90.00°. The distinct sites, in fractional coordinates, are Lu at (0.000, 0.000, 0.000) and Pt at (0.000, 0.250, 0.500).

Its total energy is -5.31 eV per atom. The value obtained for the density is 13.02 g/cm³. The spin magnetization comes out at 0.01 μB per formula unit.

---

What did the first record say?
DFT (PBE) results for an optimized crystal structure of LuPt3.

The structure belongs to space group Pm-3m (No. 221); the cell edges are 4.076, 4.076 and 4.076 Å and the angles 90.00°, 90.00° and 90.00°. The distinct sites, in fractional coordinates, are Lu at (0.000, 0.000, 0.000) and Pt at (0.000, 0.500, 0.500).

Its total energy is -6.77 eV per atom. The value obtained for the density is 18.65 g/cm³. The spin magnetization comes out at 0.00 μB per formula unit.